# SrFe2Te | Alexandria via LeMat-Bulk | PBE | optimized geometry
# Total magnetic moment in μB/f.u.: 4.75
# Formation energy from raw total energies in eV/atom: 0.1969
# E in Ry/atom: -0.3852
data_SrFe2Te
_cell_length_a 4.781
_cell_length_b 4.781
_cell_length_c 18.113
_cell_angle_alpha 90.00
_cell_angle_beta 90.00
_cell_angle_gamma 90.00
_symmetry_space_group_name_H-M 'I 41/a m d'
_symmetry_Int_Tables_number 141
loop_
_symmetry_equiv_pos_as_xyz
'x,y,z'
'-x,-y,-z'
'-y+1/4,x+3/4,z+1/4'
'y+1/4,-x+3/4,-z+1/4'
'-x+1/2,-y,z+1/2'
'x+1/2,y,-z+1/2'
'y+1/4,-x+1/4,z+3/4'
'-y+1/4,x+1/4,-z+3/4'
'x,-y,-z'
'-x,y,z'
'-y+1/4,-x+1/4,-z+3/4'
'y+1/4,x+1/4,z+3/4'
'-x+1/2,y,-z+1/2'
'x+1/2,-y,z+1/2'
'y+1/4,x+3/4,-z+1/4'
'-y+1/4,-x+3/4,z+1/4'
'x+1/2,y+1/2,z+1/2'
'-x+1/2,-y+1/2,-z+1/2'
'-y+3/4,x+1/4,z+3/4'
'y+3/4,-x+1/4,-z+3/4'
'-x,-y+1/2,z'
'x,y+1/2,-z'
'y+3/4,-x+3/4,z+1/4'
'-y+3/4,x+3/4,-z+1/4'
'x+1/2,-y+1/2,-z+1/2'
'-x+1/2,y+1/2,z+1/2'
'-y+3/4,-x+3/4,-z+1/4'
'y+3/4,x+3/4,z+1/4'
'-x,y+1/2,-z'
'x,-y+1/2,z'
'y+3/4,x+1/4,-z+3/4'
'-y+3/4,-x+1/4,z+3/4'
loop_
_atom_site_label
_atom_site_fract_x
_atom_site_fract_y
_atom_site_fract_z
_atom_site_occupancy
Sr1 0.000 0.250 0.375 1
Fe1 0.000 0.000 0.000 1
Te1 0.000 0.250 0.875 1